# 1
DFT (GGA-PBE) results for a geometry-optimized TlGe3F structure.

Geometry as POSCAR:
```
TlGe3F
1.0
5.448 0.000 0.000
0.000 5.448 0.000
0.000 0.000 5.448
Tl Ge F
1 3 1
direct
0.000 0.000 0.000
0.000 0.000 0.500
0.000 0.500 0.000
0.500 0.000 0.000
0.500 0.500 0.500
```

SG: Pm-3m, No. 221
VASP energy: -2.85 eV per atom
Formation energy without anion corrections: 0.773 eV/atom


# 2
DFT (GGA-PBE) results for a geometry-optimized TlGe2F6 structure.

Geometry as POSCAR:
```
TlGe2F6
1.0
5.167 -5.485 0.000
5.167 5.485 0.000
-3.501 0.000 5.503
Tl Ge F
2 4 12
direct
0.159 0.841 0.750
0.841 0.159 0.250
0.231 0.435 0.100
0.435 0.231 0.600
0.565 0.769 0.400
0.769 0.565 0.900
0.071 0.468 0.825
0.074 0.198 0.998
0.198 0.074 0.498
0.316 0.401 0.473
0.401 0.316 0.973
0.468 0.071 0.325
0.532 0.929 0.675
0.599 0.684 0.027
0.684 0.599 0.527
0.802 0.926 0.502
0.926 0.802 0.002
0.929 0.532 0.175
```

SG: C2/c, No. 15
VASP energy: -4.61 eV per atom
Formation energy without anion corrections: -2.072 eV/atom


# 3
DFT (GGA-PBE) results for a geometry-optimized TlGeF3 structure.

Geometry as POSCAR:
```
TlGeF3
1.0
4.511 0.000 0.000
0.098 6.591 0.000
2.143 1.445 7.284
Tl Ge F
2 2 6
direct
0.000 0.000 0.000
0.443 0.550 0.712
0.592 0.451 0.185
0.850 0.097 0.526
0.069 0.898 0.647
0.078 0.324 0.543
0.366 0.224 0.168
0.372 0.651 0.066
0.569 0.117 0.759
0.873 0.434 0.953
```

SG: P1, No. 1
VASP energy: -4.55 eV per atom
Formation energy without anion corrections: -2.035 eV/atom


# 4
DFT (GGA-PBE) results for a geometry-optimized TlGeF3 structure.

Geometry as POSCAR:
```
TlGeF3
1.0
4.029 0.000 0.000
-2.015 3.489 0.000
0.000 0.000 14.683
Tl Ge F
2 2 6
direct
0.000 0.000 0.000
0.000 0.000 0.500
0.333 0.667 0.250
0.667 0.333 0.750
0.000 0.000 0.250
0.000 0.000 0.750
0.333 0.667 0.109
0.333 0.667 0.391
0.667 0.333 0.609
0.667 0.333 0.891
```

SG: P6_3/mmc, No. 194
VASP energy: -4.36 eV per atom
Formation energy without anion corrections: -1.845 eV/atom


# 5
DFT (GGA-PBE) results for a geometry-optimized Tl2GeF structure.

Geometry as POSCAR:
```
Tl2GeF
1.0
0.000 3.520 3.520
3.520 0.000 3.520
3.520 3.520 0.000
Tl Ge F
2 1 1
direct
0.250 0.250 0.250
0.750 0.750 0.750
0.000 0.000 0.000
0.500 0.500 0.500
```

SG: Fm-3m, No. 225
VASP energy: -3.28 eV per atom
Formation energy without anion corrections: -0.479 eV/atom


# 6
DFT (GGA-PBE) results for a geometry-optimized TlGeF3 structure.

Geometry as POSCAR:
```
TlGeF3
1.0
6.291 0.000 0.000
0.000 8.627 0.000
0.000 0.000 7.681
Tl Ge F
4 4 12
direct
0.000 0.000 0.000
0.000 0.500 0.000
0.500 0.000 0.500
0.500 0.500 0.500
0.022 0.250 0.479
0.478 0.750 0.979
0.522 0.250 0.021
0.978 0.750 0.521
0.101 0.594 0.660
0.101 0.906 0.660
0.213 0.750 0.372
0.287 0.250 0.872
0.399 0.094 0.160
0.399 0.406 0.160
0.601 0.594 0.840
0.601 0.906 0.840
0.713 0.750 0.128
0.787 0.250 0.628
0.899 0.094 0.340
0.899 0.406 0.340
```

SG: Pnma, No. 62
VASP energy: -4.54 eV per atom
Formation energy without anion corrections: -2.023 eV/atom


# 7
DFT (GGA-PBE) results for a geometry-optimized Tl2GeF4 structure.

Geometry as POSCAR:
```
Tl2GeF4
1.0
3.995 -5.177 0.000
3.995 5.177 0.000
-3.991 0.000 4.117
Tl Ge F
2 1 4
direct
0.250 0.750 0.000
0.750 0.250 0.000
0.011 0.011 0.522
0.032 0.032 0.213
0.176 0.767 0.442
0.683 0.683 0.216
0.767 0.176 0.442
```

SG: Cm, No. 8
VASP energy: -4.34 eV per atom
Formation energy without anion corrections: -1.939 eV/atom


# 8
DFT (GGA-PBE) results for a geometry-optimized TlGeF3 structure.

Geometry as POSCAR:
```
TlGeF3
1.0
3.693 0.000 0.000
0.000 3.693 0.000
0.000 0.000 6.807
Tl Ge F
1 1 3
direct
0.000 0.000 0.000
0.500 0.500 0.466
0.000 0.000 0.633
0.000 0.500 0.296
0.500 0.000 0.296
```

SG: P4mm, No. 99
VASP energy: -4.26 eV per atom
Formation energy without anion corrections: -1.741 eV/atom